1.
Below is crystalline YEr2In3AgPd2 at its relaxed geometry, with properties calculated at the PBE-GGA level.

Geometry as POSCAR:
```
YEr2In3AgPd2
1.0
-0.2456 1.0147 -3.6197
-2.0838 -7.2968 -1.9042
-5.4666 5.2819 1.8515
In Y Er Pd Ag
3 1 2 2 1
Direct
0.0000 0.2694 0.9996
0.0000 0.7301 0.7301
0.0000 0.9996 0.2694
0.5000 0.4076 0.4076
0.5000 0.0001 0.5918
0.5000 0.5918 0.0001
0.0000 0.3326 0.6694
0.0000 0.6694 0.3326
0.5000 0.9994 0.9994
```

Magnetic moment = 0.02 μB/cell
E = -4.80 eV per atom
Density = 9.06 Mg/m³



2.
Below is crystalline GdEr2Tl2Cd4 at its relaxed geometry, with properties calculated at the PBE-GGA level.

Geometry as POSCAR:
```
GdEr2Tl2Cd4
1.0
-4.3222 -0.4728 1.3918
2.2687 -4.7391 5.4354
-0.3878 7.4333 1.3211
Cd Tl Er Gd
4 2 2 1
Direct
0.0000 0.0036 0.0036
0.5000 0.9995 0.7607
0.5000 0.2406 0.2406
0.5000 0.7607 0.9995
0.5000 0.3311 0.6673
0.5000 0.6673 0.3311
0.0000 0.4268 0.9988
0.0000 0.9988 0.4268
0.0000 0.5717 0.5717
```

Magnetic moment = 0.00 μB/cell
E = -2.77 eV per atom
Density = 9.96 Mg/m³



3.
Below is crystalline DyTmGe at its relaxed geometry, with properties calculated at the PBE-GGA level.

Geometry as POSCAR:
```
DyTmGe
1.0
0.0000 3.4227 3.4227
3.4227 0.0000 3.4227
3.4227 3.4227 0.0000
Tm Ge Dy
1 1 1
Direct
0.7500 0.7500 0.7500
0.0000 0.0000 0.0000
0.2500 0.2500 0.2500
```

Magnetic moment = 0.00 μB/cell
E = -5.09 eV per atom
Density = 8.37 Mg/m³



4.
Below is crystalline FeBiMo at its relaxed geometry, with properties calculated at the PBE-GGA level.

Geometry as POSCAR:
```
FeBiMo
1.0
0.0000 3.0118 3.0118
3.0118 0.0000 3.0118
3.0118 3.0118 0.0000
Fe Bi Mo
1 1 1
Direct
0.0000 0.0000 0.0000
0.2500 0.2500 0.2500
0.7500 0.7500 0.7500
```

Magnetic moment = 0.87 μB/cell
E = -7.25 eV per atom
Density = 10.96 Mg/m³